Record 1
A relaxed SiPtWN2 crystal, computed with GGA-PBE.

Unit cell a=3.631 b=4.892 c=3.631 alpha=90.00 beta=90.00 gamma=90.00
Sites, in units of the cell vectors:
Si 0.000 0.000 0.000
W 0.500 0.500 0.500
N 0.500 0.000 0.000
Pt 0.000 0.500 0.000
N 0.000 0.000 0.500

Computed properties:
E (eV per atom): -7.115
Energy relative to the elements, uncorrected (kJ per mole of atoms): 106
Spin magnetization (μB per cell): 0.00

Record 2
A relaxed Cd2SiTc crystal, computed with GGA-PBE.

Unit cell a=7.706 b=7.706 c=6.024 alpha=50.24 beta=50.24 gamma=90.00
Sites, in units of the cell vectors:
Cd 0.604 0.125 0.250
Si 0.500 0.500 0.000
Cd 0.375 0.396 0.750
Tc 0.000 0.000 0.000
Cd 0.875 0.854 0.750
Tc 0.750 0.250 0.500
Si 0.250 0.750 0.500
Cd 0.146 0.625 0.250

Computed properties:
E (eV per atom): -3.762
Energy relative to the elements, uncorrected (kJ per mole of atoms): 62
Spin magnetization (μB per cell): 1.97

Record 3
A relaxed Hf2TaIr crystal, computed with GGA-PBE.

Unit cell a=3.295 b=3.295 c=6.901 alpha=90.00 beta=90.00 gamma=90.00
Sites, in units of the cell vectors:
Ta 0.500 0.500 0.500
Hf 0.000 0.000 0.234
Hf 0.000 0.000 0.766
Ir 0.500 0.500 0.000

Computed properties:
E (eV per atom): -10.628
Energy relative to the lowest polymorph listed for this composition (eV/atom): 0.0000
ΔE_f (eV per formula unit): -1.9
Spin magnetization (μB per cell): 0.00

Record 4
A relaxed Zr2Pd3Au6 crystal, computed with GGA-PBE.

Unit cell a=4.999 b=4.878 c=20.936 alpha=36.57 beta=46.34 gamma=65.72
Sites, in units of the cell vectors:
Pd 0.883 0.706 0.391
Au 0.801 0.195 0.866
Au 0.398 0.788 0.870
Au 0.507 0.600 0.606
Au 0.199 0.805 0.134
Au 0.493 0.400 0.394
Zr 0.320 0.190 0.332
Pd 0.117 0.294 0.609
Zr 0.680 0.810 0.668
Au 0.602 0.212 0.130
Pd 0.000 0.000 0.000

Computed properties:
E (eV per atom): -5.099
Energy relative to the lowest polymorph listed for this composition (eV/atom): 0.0000
ΔE_f (eV per formula unit): -3.7
Spin magnetization (μB per cell): 0.00

Record 5
A relaxed Ge6Ir3Ru crystal, computed with GGA-PBE.

Unit cell a=6.651 b=6.213 c=8.277 alpha=90.00 beta=93.91 gamma=90.00
Sites, in units of the cell vectors:
Ge 0.153 0.350 0.430
Ge 0.346 0.859 0.436
Ge 0.347 0.850 0.070
Ge 0.186 0.987 0.761
Ge 0.653 0.150 0.930
Ge 0.847 0.650 0.570
Ge 0.814 0.013 0.239
Ru 0.000 0.000 0.000
Ir 0.500 0.500 0.000
Ir 0.977 0.346 0.752
Ge 0.654 0.141 0.564
Ge 0.154 0.359 0.064
Ir 0.523 0.846 0.748
Ge 0.314 0.487 0.739
Ru 0.500 0.500 0.500
Ir 0.000 0.000 0.500
Ge 0.686 0.513 0.261
Ir 0.023 0.654 0.248
Ge 0.846 0.641 0.936
Ir 0.477 0.154 0.252

Computed properties:
E (eV per atom): -6.529
ΔE_f (eV per formula unit): -1.7
Spin magnetization (μB per cell): 0.00

Record 6
A relaxed KTa2Br crystal, computed with GGA-PBE.

Unit cell a=5.463 b=5.463 c=3.041 alpha=90.00 beta=90.00 gamma=90.00
Sites, in units of the cell vectors:
Ta 0.500 0.500 0.000
Ta 0.000 0.000 0.000
Br 0.500 0.000 0.500
K 0.000 0.500 0.500

Computed properties:
E (eV per atom): -4.666
Energy relative to the elements, uncorrected (kJ per mole of atoms): 188
Energy relative to the lowest polymorph listed for this composition (eV/atom): 1.7485
Spin magnetization (μB per cell): 0.02

Record 7
A relaxed UBP crystal, computed with GGA-PBE.

Unit cell a=3.962 b=3.470 c=3.470 alpha=120.00 beta=90.00 gamma=90.00
Sites, in units of the cell vectors:
U 0.000 0.000 0.000
P 0.500 0.333 0.667
B 0.500 0.667 0.333

Computed properties:
E (eV per atom): -8.292
Energy relative to the lowest polymorph listed for this composition (eV/atom): 0.0000
ΔE_f (eV per formula unit): -1.5
Spin magnetization (μB per cell): 1.36

Record 8
A relaxed CuGeP crystal, computed with GGA-PBE.

Unit cell a=4.620 b=3.918 c=7.212 alpha=90.00 beta=123.07 gamma=90.00
Sites, in units of the cell vectors:
Cu 0.030 0.500 0.872
Ge 0.395 0.000 0.187
P 0.040 0.000 0.697
P 0.040 0.500 0.197
Ge 0.395 0.500 0.687
Cu 0.030 0.000 0.372

Computed properties:
E (eV per atom): -4.570
Energy relative to the lowest polymorph listed for this composition (eV/atom): 0.0296
ΔE_f (eV per formula unit): 0.4
Spin magnetization (μB per cell): 0.00